{
  "formula": "Li2Ga2Cu",
  "functional": "PBE-GGA",
  "state": "relaxed",
  "lattice": [[-1.708, 1.708, 6.602], [1.708, -1.708, 6.602], [1.708, 1.708, -6.602]],
  "species": ["Li", "Li", "Ga", "Ga", "Cu"],
  "frac_coords": [[0.250, 0.750, 0.500], [0.750, 0.250, 0.500], [0.096, 0.096, 0.000], [0.904, 0.904, 0.000], [0.500, 0.500, 0.000]],
  "energy_ev_per_cell": -14.1,
  "ef_ev_per_atom": -0.03,
  "magmom_total_mub_per_cell": 0.00,
  "vol_a3_per_cell": 77,
  "relative_energy_mev_per_atom": 239
}

---

{
  "formula": "AcZnCl2",
  "functional": "PBE-GGA",
  "state": "relaxed",
  "lattice": [[2.121, 1.224, 9.694], [-2.121, 1.224, 9.694], [0.000, -2.449, 9.694]],
  "species": ["Ac", "Zn", "Cl", "Cl"],
  "frac_coords": [[0.000, 0.000, 0.000], [0.500, 0.500, 0.500], [0.094, 0.094, 0.094], [0.906, 0.906, 0.906]],
  "energy_ev_per_cell": -12.0,
  "formation_energy_uncorrected_ev_per_atom": -0.738,
  "magmom_total_mub_per_cell": 0.53,
  "vol_a3_per_cell": 151
}

---

Number 2 is which compound? AcZnCl2

---

Repeat the first record exactly.
{
  "formula": "Li2Ga2Cu",
  "functional": "PBE-GGA",
  "state": "relaxed",
  "lattice": [[-1.708, 1.708, 6.602], [1.708, -1.708, 6.602], [1.708, 1.708, -6.602]],
  "species": ["Li", "Li", "Ga", "Ga", "Cu"],
  "frac_coords": [[0.250, 0.750, 0.500], [0.750, 0.250, 0.500], [0.096, 0.096, 0.000], [0.904, 0.904, 0.000], [0.500, 0.500, 0.000]],
  "energy_ev_per_cell": -14.1,
  "ef_ev_per_atom": -0.03,
  "magmom_total_mub_per_cell": 0.00,
  "vol_a3_per_cell": 77,
  "relative_energy_mev_per_atom": 239
}

---

Please write out number 2 again, unchanged.
{
  "formula": "AcZnCl2",
  "functional": "PBE-GGA",
  "state": "relaxed",
  "lattice": [[2.121, 1.224, 9.694], [-2.121, 1.224, 9.694], [0.000, -2.449, 9.694]],
  "species": ["Ac", "Zn", "Cl", "Cl"],
  "frac_coords": [[0.000, 0.000, 0.000], [0.500, 0.500, 0.500], [0.094, 0.094, 0.094], [0.906, 0.906, 0.906]],
  "energy_ev_per_cell": -12.0,
  "formation_energy_uncorrected_ev_per_atom": -0.738,
  "magmom_total_mub_per_cell": 0.53,
  "vol_a3_per_cell": 151
}